{"formula": "AgGeTeO6", "functional": "PBE-GGA", "state": "relaxed", "cell": [[5.143, 0.000, 0.000], [-2.571, 4.454, 0.000], [0.000, 0.000, 9.775]], "species": ["O", "O", "O", "O", "O", "O", "O", "O", "O", "O", "O", "O", "Te", "Te", "Ag", "Ag", "Ge", "Ge"], "fractional_positions": [[0.373, 0.005, 0.141], [0.995, 0.627, 0.359], [0.627, 0.995, 0.859], [0.373, 0.368, 0.359], [0.005, 0.373, 0.641], [0.632, 0.005, 0.359], [0.005, 0.632, 0.859], [0.632, 0.627, 0.141], [0.627, 0.632, 0.641], [0.368, 0.995, 0.641], [0.368, 0.373, 0.859], [0.995, 0.368, 0.141], [0.333, 0.667, 0.250], [0.667, 0.333, 0.750], [0.000, 0.000, 0.000], [0.000, 0.000, 0.500], [0.667, 0.333, 0.250], [0.333, 0.667, 0.750]], "dos_ef_per_ev_cell": 9.30, "crystal_system": "trigonal", "raw_formation_energy_ev_per_atom": -0.94, "total_magnetization_mub_per_cell": 0.80, "density_g_cm3": 5.99}



{"formula": "AgGeTe2O8", "functional": "PBE-GGA", "state": "relaxed", "cell": [[5.053, 0.000, 0.000], [2.526, 4.376, 0.000], [2.526, 1.459, 8.598]], "species": ["O", "O", "O", "O", "O", "O", "O", "O", "Ge", "Ag", "Te", "Te"], "fractional_positions": [[0.686, 0.686, 0.941], [0.256, 0.848, 0.351], [0.848, 0.546, 0.351], [0.744, 0.454, 0.649], [0.454, 0.152, 0.649], [0.314, 0.314, 0.059], [0.152, 0.744, 0.649], [0.546, 0.256, 0.351], [0.500, 0.500, 0.500], [0.000, 0.000, 0.000], [0.758, 0.758, 0.726], [0.242, 0.242, 0.274]], "dos_ef_per_ev_cell": 2.36, "crystal_system": "trigonal", "raw_formation_energy_ev_per_atom": -0.61, "total_magnetization_mub_per_cell": 0.00, "density_g_cm3": 4.92}



{"formula": "AgGe2TeO8", "functional": "PBE-GGA", "state": "relaxed", "cell": [[-0.771, -5.341, 1.966], [1.968, -0.096, -5.395], [3.838, 2.674, 3.333]], "species": ["Ge", "Ge", "O", "O", "O", "O", "O", "O", "O", "O", "Te", "Ag"], "fractional_positions": [[0.500, 0.500, 0.000], [0.750, 0.250, 0.500], [0.481, 0.681, 0.800], [0.319, 0.119, 0.800], [0.726, 0.046, 0.681], [0.954, 0.635, 0.681], [0.365, 0.046, 0.319], [0.954, 0.274, 0.319], [0.881, 0.681, 0.200], [0.319, 0.519, 0.200], [0.250, 0.750, 0.500], [0.000, 0.000, 0.000]], "dos_ef_per_ev_cell": 3.08, "crystal_system": "tetragonal", "raw_formation_energy_ev_per_atom": -0.80, "total_magnetization_mub_per_cell": 0.00, "density_g_cm3": 5.79}



{"formula": "ThAgGeO", "functional": "PBE-GGA", "state": "relaxed", "cell": [[4.115, 0.000, 0.000], [0.000, 4.115, 0.000], [0.000, 0.000, 8.759]], "species": ["Ge", "Ge", "Th", "Th", "O", "O", "Ag", "Ag"], "fractional_positions": [[0.500, 0.000, 0.694], [0.000, 0.500, 0.306], [0.500, 0.000, 0.147], [0.000, 0.500, 0.853], [0.000, 0.000, 0.000], [0.500, 0.500, 0.000], [0.000, 0.000, 0.500], [0.500, 0.500, 0.500]], "dos_ef_per_ev_cell": 7.33, "crystal_system": "tetragonal", "raw_formation_energy_ev_per_atom": -1.58, "total_magnetization_mub_per_cell": 0.00, "density_g_cm3": 9.60}



{"formula": "TiAg2GeO5", "functional": "PBE-GGA", "state": "relaxed", "cell": [[3.068, 0.000, 0.000], [-1.534, 6.013, 0.000], [0.000, 0.000, 12.860]], "species": ["Ti", "Ti", "O", "O", "O", "O", "O", "O", "O", "O", "O", "O", "Ag", "Ag", "Ag", "Ag", "Ge", "Ge"], "fractional_positions": [[0.764, 0.528, 0.523], [0.236, 0.472, 0.023], [0.493, 0.986, 0.806], [0.732, 0.465, 0.119], [0.312, 0.623, 0.423], [0.268, 0.535, 0.619], [0.688, 0.377, 0.923], [0.053, 0.105, 0.017], [0.507, 0.014, 0.306], [0.947, 0.895, 0.517], [0.376, 0.753, 0.983], [0.624, 0.247, 0.483], [0.882, 0.763, 0.223], [0.171, 0.343, 0.286], [0.829, 0.657, 0.786], [0.118, 0.237, 0.723], [0.475, 0.951, 0.442], [0.525, 0.049, 0.942]], "crystal_system": "orthorhombic", "raw_formation_energy_ev_per_atom": -1.50, "total_magnetization_mub_per_cell": 0.00, "density_g_cm3": 5.83}



{"formula": "Tl2AgGeO4", "functional": "PBE-GGA", "state": "relaxed", "cell": [[-4.534, 1.133, -3.631], [1.147, -0.686, -6.469], [-4.986, -8.712, -1.314]], "species": ["O", "O", "O", "O", "O", "O", "O", "O", "Tl", "Tl", "Tl", "Tl", "Ge", "Ge", "Ag", "Ag"], "fractional_positions": [[0.230, 0.201, 0.934], [0.364, 0.799, 0.066], [0.570, 0.201, 0.066], [0.520, 0.299, 0.566], [0.913, 0.701, 0.566], [0.180, 0.299, 0.434], [0.386, 0.701, 0.434], [0.837, 0.799, 0.934], [0.814, 0.000, 0.371], [0.936, 0.500, 0.129], [0.186, 0.000, 0.629], [0.564, 0.500, 0.871], [0.500, 0.000, 0.000], [0.250, 0.500, 0.500], [0.750, 0.500, 0.500], [0.000, 0.000, 0.000]], "dos_ef_per_ev_cell": 0.99, "crystal_system": "orthorhombic", "raw_formation_energy_ev_per_atom": -0.73, "total_magnetization_mub_per_cell": 2.06, "density_g_cm3": 6.41}



{"formula": "Tl2Ag2GeO6", "functional": "PBE-GGA", "state": "relaxed", "cell": [[5.675, -0.081, 0.661], [-2.875, 4.893, 0.661], [-0.416, -0.714, 6.343]], "species": ["Ag", "Ag", "O", "O", "O", "O", "O", "O", "Tl", "Tl", "Ge"], "fractional_positions": [[0.150, 0.850, 0.000], [0.850, 0.150, 0.000], [0.302, 0.302, 0.341], [0.968, 0.262, 0.674], [0.698, 0.698, 0.659], [0.032, 0.738, 0.326], [0.738, 0.032, 0.326], [0.262, 0.968, 0.674], [0.664, 0.336, 0.500], [0.336, 0.664, 0.500], [0.000, 0.000, 0.500]], "dos_ef_per_ev_cell": 1.10, "crystal_system": "monoclinic", "raw_formation_energy_ev_per_atom": -0.73, "total_magnetization_mub_per_cell": 0.00, "density_g_cm3": 7.31}



{"formula": "Tm3Ag3GeO8", "functional": "PBE-GGA", "state": "relaxed", "cell": [[-3.644, 3.843, -4.000], [-0.728, -6.592, -0.164], [-2.340, 3.473, 5.469]], "species": ["O", "O", "O", "O", "O", "O", "O", "O", "Tm", "Tm", "Tm", "Ag", "Ag", "Ag", "Ge"], "fractional_positions": [[0.768, 0.976, 0.683], [0.208, 0.976, 0.683], [0.727, 0.453, 0.679], [0.792, 0.584, 0.317], [0.792, 0.024, 0.317], [0.273, 0.547, 0.321], [0.232, 0.024, 0.317], [0.208, 0.416, 0.683], [0.000, 0.500, 0.500], [0.500, 0.500, 0.500], [0.500, 0.000, 0.500], [0.000, 0.000, 0.000], [0.500, 0.500, 0.000], [0.000, 0.500, 0.000], [0.000, 0.000, 0.500]], "crystal_system": "monoclinic", "raw_formation_energy_ev_per_atom": -2.04, "total_magnetization_mub_per_cell": 0.00, "density_g_cm3": 7.86}



{"formula": "TmAgGeO4", "functional": "PBE-GGA", "state": "relaxed", "cell": [[5.965, 0.000, 0.000], [2.983, 5.645, -0.172], [2.983, 1.556, 5.429]], "species": ["O", "O", "O", "O", "O", "O", "O", "O", "Ge", "Ge", "Ag", "Ag", "Tm", "Tm"], "fractional_positions": [[0.765, 0.733, 0.233], [0.750, 0.290, 0.210], [0.250, 0.290, 0.210], [0.235, 0.267, 0.767], [0.268, 0.733, 0.233], [0.250, 0.710, 0.790], [0.750, 0.710, 0.790], [0.732, 0.267, 0.767], [0.637, 0.613, 0.113], [0.363, 0.387, 0.887], [0.000, 0.000, 0.500], [0.500, 0.000, 0.500], [0.000, 0.500, 0.500], [0.000, 0.000, 0.000]], "crystal_system": "orthorhombic", "raw_formation_energy_ev_per_atom": -1.95, "total_magnetization_mub_per_cell": 0.00, "density_g_cm3": 7.45}



{"formula": "Tm2Ag2GeO6", "functional": "PBE-GGA", "state": "relaxed", "cell": [[5.664, -0.154, 0.741], [-2.933, 4.848, 0.741], [-0.319, -0.549, 6.343]], "species": ["O", "O", "O", "O", "O", "O", "Tm", "Tm", "Ge", "Ag", "Ag"], "fractional_positions": [[0.736, 0.040, 0.333], [0.040, 0.736, 0.333], [0.682, 0.682, 0.648], [0.960, 0.264, 0.667], [0.318, 0.318, 0.352], [0.264, 0.960, 0.667], [0.337, 0.663, 0.500], [0.663, 0.337, 0.500], [0.000, 0.000, 0.500], [0.153, 0.847, 0.000], [0.847, 0.153, 0.000]], "dos_ef_per_ev_cell": 0.00, "crystal_system": "monoclinic", "raw_formation_energy_ev_per_atom": -2.05, "total_magnetization_mub_per_cell": 0.00, "density_g_cm3": 6.82}



{"formula": "TmAg2GeO4", "functional": "PBE-GGA", "state": "relaxed", "cell": [[-3.707, 2.939, 3.721], [0.925, -5.933, -0.405], [5.984, -0.528, 0.365]], "species": ["O", "O", "O", "O", "Ge", "Ag", "Ag", "Tm"], "fractional_positions": [[0.937, 0.547, 0.165], [0.618, 0.390, 0.453], [0.063, 0.228, 0.610], [0.382, 0.835, 0.772], [0.000, 0.500, 0.500], [0.000, 0.000, 0.000], [0.500, 0.750, 0.250], [0.500, 0.250, 0.750]], "dos_ef_per_ev_cell": 0.57, "crystal_system": "tetragonal", "raw_formation_energy_ev_per_atom": -1.53, "total_magnetization_mub_per_cell": 0.00, "density_g_cm3": 6.61}



{"formula": "UAgGe2O8", "functional": "PBE-GGA", "state": "relaxed", "cell": [[-0.387, 4.990, 3.109], [-3.820, -0.111, -4.485], [-1.241, -4.506, 3.588]], "species": ["O", "O", "O", "O", "O", "O", "O", "O", "U", "Ge", "Ge", "Ag"], "fractional_positions": [[0.944, 0.264, 0.319], [0.736, 0.056, 0.681], [0.867, 0.664, 0.203], [0.375, 0.056, 0.319], [0.336, 0.540, 0.203], [0.460, 0.664, 0.797], [0.336, 0.133, 0.797], [0.944, 0.625, 0.681], [0.250, 0.750, 0.500], [0.500, 0.500, 0.000], [0.750, 0.250, 0.500], [0.000, 0.000, 0.000]], "dos_ef_per_ev_cell": 2.51, "crystal_system": "tetragonal", "raw_formation_energy_ev_per_atom": -1.67, "total_magnetization_mub_per_cell": 0.00, "density_g_cm3": 6.54}



Please write out number 1 again, unchanged.
{"formula": "AgGeTeO6", "functional": "PBE-GGA", "state": "relaxed", "cell": [[5.143, 0.000, 0.000], [-2.571, 4.454, 0.000], [0.000, 0.000, 9.775]], "species": ["O", "O", "O", "O", "O", "O", "O", "O", "O", "O", "O", "O", "Te", "Te", "Ag", "Ag", "Ge", "Ge"], "fractional_positions": [[0.373, 0.005, 0.141], [0.995, 0.627, 0.359], [0.627, 0.995, 0.859], [0.373, 0.368, 0.359], [0.005, 0.373, 0.641], [0.632, 0.005, 0.359], [0.005, 0.632, 0.859], [0.632, 0.627, 0.141], [0.627, 0.632, 0.641], [0.368, 0.995, 0.641], [0.368, 0.373, 0.859], [0.995, 0.368, 0.141], [0.333, 0.667, 0.250], [0.667, 0.333, 0.750], [0.000, 0.000, 0.000], [0.000, 0.000, 0.500], [0.667, 0.333, 0.250], [0.333, 0.667, 0.750]], "dos_ef_per_ev_cell": 9.30, "crystal_system": "trigonal", "raw_formation_energy_ev_per_atom": -0.94, "total_magnetization_mub_per_cell": 0.80, "density_g_cm3": 5.99}